[1]
## RbLi2S2 (PBEsol)

Data for RbLi2S2 after structural relaxation.

Computed properties:
The magnetic moment is 0.2 μB per formula unit. Its space group is I4/mmm. The calculated volume is 99.33 Å³/f.u.

Geometry as extended XYZ:
```
5
Lattice="-2.133 2.133 5.457 2.133 -2.133 5.457 2.133 2.133 -5.457" Properties=species:S:1:pos:R:3 pbc="T T T"
Rb 0.000 0.000 0.000
Li 2.133 0.000 2.729
Li 0.000 2.133 2.729
S 0.000 0.000 3.935
S 0.000 0.000 6.980
```



[2]
## RbLiS2 (PBEsol)

Data for RbLiS2 after structural relaxation.

Computed properties:
The magnetic moment is 0.0 μB per formula unit. Its space group is I-42d. The calculated volume is 97.31 Å³/f.u.

Geometry as extended XYZ:
```
8
Lattice="-2.472 2.472 7.961 2.472 -2.472 7.961 2.472 2.472 -7.961" Properties=species:S:1:pos:R:3 pbc="T T T"
Rb 0.000 0.000 0.000
Rb 0.000 2.472 3.981
Li 2.472 0.000 3.981
Li 0.000 0.000 7.961
S 1.236 2.230 -1.990
S 2.714 1.236 1.990
S 1.236 0.242 5.971
S -0.242 1.236 9.952
```



[3]
## Rb2LiVS4 (PBEsol)

Data for Rb2LiVS4 after structural relaxation.

Computed properties:
The magnetic moment is 0.0 μB per formula unit. Its space group is Fddd. The calculated volume is 216.34 Å³/f.u.

Geometry as extended XYZ:
```
16
Lattice="0.000 6.513 11.520 2.883 0.000 11.520 2.883 6.513 0.000" Properties=species:S:1:pos:R:3 pbc="T T T"
Rb 2.163 4.885 1.229
Rb 3.604 8.141 6.989
Rb 2.163 4.885 16.051
Rb 3.604 8.141 21.811
Li 2.163 4.885 8.640
Li 3.604 8.141 14.400
V 0.721 1.628 2.880
V 5.046 11.398 20.160
S 1.971 2.867 4.106
S 3.796 6.123 9.866
S 2.354 6.903 4.106
S 2.354 2.867 13.174
S 3.413 10.159 9.866
S 3.413 6.123 18.934
S 1.971 6.903 13.174
S 3.796 10.159 18.934
```



Energy relative to the elements, uncorrected
In order: -1.021; -0.869; -1.176
Unit: eV per atom